No. 1
DFT (GGA-PBE) results for AsPS4 after structural relaxation.

Lattice parameters (Å, degrees): 5.5947 6.8012 9.1331 90.00 90.00 90.00
Sites, in units of the cell vectors:
S 0.3703 0.6441 0.0000
S 0.3250 0.1938 0.1721
S 0.8359 0.3934 0.0000
S 0.8250 0.8062 0.6721
S 0.8703 0.3559 0.5000
S 0.3250 0.1938 0.8279
S 0.3359 0.6066 0.5000
S 0.8250 0.8062 0.3279
As 0.0486 0.0949 0.0000
As 0.5486 0.9051 0.5000
P 0.9673 0.6303 0.5000
P 0.4673 0.3697 0.0000

Results
Symmetry ... No. 31

No. 2
DFT (GGA-PBE) results for MgIrI3 after structural relaxation.

Lattice parameters (Å, degrees): 5.4354 5.4354 5.4354 90.00 90.00 90.00
Sites, in units of the cell vectors:
Mg 0.5000 0.5000 0.5000
I 0.5000 0.0000 0.0000
I 0.0000 0.5000 0.0000
I 0.0000 0.0000 0.5000
Ir 0.0000 0.0000 0.0000

Results
Distance to the lowest polymorph of the same formula ... 0 meV/atom
Symmetry ... No. 221

no.,uncorrected formation energy (eV/atom),N(E_F) (states/eV/cell)
1,-0.10,0.00
2,0.21,2.63